No. 1
A geometry-optimized RbDyU structure, computed with PBE.

abc: 8.3352 8.3352 8.3352
angles: 90.00 90.00 90.00
Closest atoms and distances in Å follow each position.
Fractional coordinates of all 12 atoms:
Rb  0.0000  0.0000  0.0000  4 Dy 3.61
Rb  0.0000  0.5000  0.5000  4 Dy 3.61
Rb  0.5000  0.0000  0.5000  4 Dy 3.61
Rb  0.5000  0.5000  0.0000  4 Dy 3.61
Dy  0.2500  0.2500  0.2500  4 U 3.61, 4 Rb 3.61
Dy  0.2500  0.7500  0.7500  4 U 3.61, 4 Rb 3.61
Dy  0.7500  0.2500  0.7500  4 U 3.61, 4 Rb 3.61
Dy  0.7500  0.7500  0.2500  4 U 3.61, 4 Rb 3.61
U  0.0000  0.0000  0.5000  4 Dy 3.61
U  0.0000  0.5000  0.0000  4 Dy 3.61
U  0.5000  0.0000  0.0000  4 Dy 3.61
U  0.5000  0.5000  0.5000  4 Dy 3.61

## Properties
Space-group type: F-43m, No. 216
Relative energy among the computed polymorphs, eV/atom: 0.000

---

No. 2
A geometry-optimized DyRe3 structure, computed with PBE.

abc: 4.7354 4.7354 7.8259
angles: 90.00 90.00 120.00
Closest atoms and distances in Å follow each position.
Fractional coordinates of all 8 atoms:
Dy  0.3333  0.6667  0.2500  11 Re 2.73-2.96
Dy  0.6667  0.3333  0.7500  11 Re 2.73-2.96
Re  0.0000  0.0000  0.2500  3 Dy 2.73, 6 Re 2.96
Re  0.0000  0.0000  0.7500  3 Dy 2.73, 6 Re 2.96
Re  0.3333  0.6667  0.6035  1 Re 2.29
Re  0.3333  0.6667  0.8965  1 Re 2.29
Re  0.6667  0.3333  0.1035  1 Re 2.29
Re  0.6667  0.3333  0.3965  1 Re 2.29

## Properties
Space-group type: P6_3/mmc, No. 194
Calculated formation energy, eV/atom: 1.388

---

No. 3
A geometry-optimized DyRe2S8 structure, computed with PBE.

abc: 7.3581 7.3581 6.3610
angles: 90.00 90.00 120.00
Closest atoms and distances in Å follow each position.
Fractional coordinates of all 11 atoms:
Dy  0.0000  0.0000  0.0000  6 S 2.70
Re  0.3333  0.6667  0.6523  4 S 2.12-2.18
Re  0.6667  0.3333  0.3477  4 S 2.12-2.18
S  0.1357  0.3437  0.7551  1 Re 2.18
S  0.2080  0.8643  0.7551  1 Re 2.18
S  0.3333  0.6667  0.3188  1 Re 2.12
S  0.3437  0.2080  0.2449  1 Re 2.18
S  0.6563  0.7920  0.7551  1 Re 2.18
S  0.6667  0.3333  0.6812  1 Re 2.12
S  0.7920  0.1357  0.2449  1 Re 2.18
S  0.8643  0.6563  0.2449  1 Re 2.18

## Properties
Space-group type: P-3, No. 147
Electronic total energy, eV per cell: -66.80